Na2TlIrF8 (PBE-GGA, optimized geometry); energy relative to the elements, uncorrected = -194.4 kJ/mol of atoms; calculated volume = 184 Å³/f.u.
1.0
-4.919 0.687 -0.149
-0.242 -3.813 -3.590
-0.823 -4.779 5.131
Na Tl Ir F
2 1 1 8
direct
0.500 0.500 0.762
0.500 0.500 0.238
0.000 0.000 0.500
0.000 0.000 0.000
0.187 0.832 0.215
0.723 0.712 0.000
0.813 0.168 0.215
0.813 0.168 0.785
0.277 0.288 0.000
0.187 0.832 0.785
0.695 0.696 0.500
0.305 0.304 0.500

---

NaTlIrF6 (PBE-GGA, optimized geometry); energy relative to the elements, uncorrected = -185.9 kJ/mol of atoms; calculated volume = 168 Å³/f.u.
1.0
-0.920 -0.290 5.798
2.743 -4.403 -2.764
9.896 5.020 1.821
Na Tl Ir F
2 2 2 12
direct
0.333 0.667 0.250
0.667 0.333 0.750
0.000 0.000 0.000
0.000 0.000 0.500
0.667 0.333 0.250
0.333 0.667 0.750
0.655 0.606 0.152
0.951 0.345 0.152
0.345 0.951 0.652
0.049 0.655 0.848
0.394 0.345 0.348
0.951 0.606 0.348
0.606 0.951 0.848
0.655 0.049 0.348
0.049 0.394 0.652
0.394 0.049 0.152
0.606 0.655 0.652
0.345 0.394 0.848